# 1
Here is a geometry-optimized Li5La2Pd5 structure from Alexandria. Energies are from PBE.

The structure in POSCAR format:
```
Li5La2Pd5
1.0
4.455 0.000 0.000
0.000 5.262 0.000
0.000 0.000 9.432
Pd Li La
5 5 2
direct
0.000 0.500 0.667 Pd
0.000 0.000 0.178 Pd
0.500 0.000 0.000 Pd
0.000 0.000 0.822 Pd
0.000 0.500 0.333 Pd
0.500 0.500 0.500 Li
0.500 0.248 0.245 Li
0.500 0.752 0.755 Li
0.500 0.752 0.245 Li
0.500 0.248 0.755 Li
0.000 0.000 0.500 La
0.000 0.500 0.000 La
```

Raw total energy in eV/atom: -4.306
Space-group type: Pmmm (47)

***

# 2
Here is a geometry-optimized PuUPa2C4 structure from Alexandria. Energies are from PBE.

The structure in POSCAR format:
```
PuUPa2C4
1.0
3.564 0.000 0.000
0.000 6.160 -0.083
0.000 2.203 5.761
Pu C U Pa
1 4 1 2
direct
0.500 0.500 0.000 Pu
0.000 0.251 0.261 C
0.500 0.258 0.734 C
0.500 0.742 0.266 C
0.000 0.749 0.739 C
0.000 0.500 0.500 U
0.000 0.000 0.000 Pa
0.500 0.000 0.500 Pa
```

Raw total energy in eV/atom: -10.424
Space-group type: P2/m (10)

***

In eV/atom, the formation enthalpy at 0 K values for the records above are, in order, -0.5238 -0.2356.
In Å³ per cell, the volume values for the records above are, in order, 221 127.